Ba3TaCu2O8: relaxed, GGA-PBE.

Values from the calculation:
Fermi-level density of states = 0.639 states/eV per atom
final energy = -93.59 eV/cell
V = 15.97 Å³/atom
formation energy (no corrections) = -2712 kJ/mol of formula units

```
data_Ba3TaCu2O8
_chemical_formula_sum 'Ba3 Ta1 Cu2 O8'
_cell_length_a 5.8201
_cell_length_b 5.8201
_cell_length_c 7.6211
_cell_angle_alpha 90.00
_cell_angle_beta 90.00
_cell_angle_gamma 120.00
_space_group_name_H-M_alt 'P -3 m 1'
_space_group_IT_number 164
_space_group_name_Hall '-P 3 2"'
loop_
_atom_site_label
_atom_site_type_symbol
_atom_site_fract_x
_atom_site_fract_y
_atom_site_fract_z
Ba1 Ba 0.0000 0.0000 0.0000
Ba2 Ba 0.3333 0.6667 0.6506
Ta1 Ta 0.0000 0.0000 0.5000
Cu1 Cu 0.3333 0.6667 0.2166
O1 O 0.1603 0.3205 0.3447
O2 O 0.3333 0.6667 0.9825
```

***

BaTbCuO3: relaxed, GGA-PBE.

Values from the calculation:
Fermi-level density of states = 0.000 states/eV per atom
final energy = -159.60 eV/cell
V = 17.81 Å³/atom
formation energy (no corrections) = -1387 kJ/mol of formula units

```
data_BaTbCuO3
_chemical_formula_sum 'Ba4 Tb4 Cu4 O12'
_cell_length_a 3.7643
_cell_length_b 13.4038
_cell_length_c 8.4725
_cell_angle_alpha 90.00
_cell_angle_beta 90.00
_cell_angle_gamma 90.00
_space_group_name_H-M_alt 'C m c m'
_space_group_IT_number 63
_space_group_name_Hall '-C 2c 2'
loop_
_atom_site_label
_atom_site_type_symbol
_atom_site_fract_x
_atom_site_fract_y
_atom_site_fract_z
Ba1 Ba 0.0000 0.1922 0.2500
Tb1 Tb 0.0000 0.5000 0.0000
Cu1 Cu 0.0000 0.1067 0.7500
O1 O 0.0000 0.1088 0.5353
O2 O 0.0000 0.4363 0.7500
```

***

BaTbCu2O4: relaxed, GGA-PBE.

Values from the calculation:
Fermi-level density of states = 0.197 states/eV per atom
final energy = -50.03 eV/cell
V = 13.90 Å³/atom
formation energy (no corrections) = -1491 kJ/mol of formula units

```
data_BaTbCu2O4
_chemical_formula_sum 'Ba1 Tb1 Cu2 O4'
_cell_length_a 3.9996
_cell_length_b 3.9996
_cell_length_c 6.9536
_cell_angle_alpha 90.00
_cell_angle_beta 90.00
_cell_angle_gamma 90.00
_space_group_name_H-M_alt 'P 4/m m m'
_space_group_IT_number 123
_space_group_name_Hall '-P 4 2'
loop_
_atom_site_label
_atom_site_type_symbol
_atom_site_fract_x
_atom_site_fract_y
_atom_site_fract_z
Ba1 Ba 0.0000 0.0000 0.0000
Tb1 Tb 0.0000 0.0000 0.5000
Cu1 Cu 0.5000 0.5000 0.2933
O1 O 0.0000 0.5000 0.2901
```